# YHfW2

A relaxed structure of YHfW2 (PBE, Alexandria via LeMat-Bulk).

Lattice parameters (Å, degrees): 4.8258 4.8258 4.8258 60.00 60.00 60.00
Last column: nearest neighbours and their distance in Å.
Positions (direct):
Y (0.0000, 0.0000, 0.0000)  8 W 2.96
Hf (0.5000, 0.5000, 0.5000)  8 W 2.96
W (0.2500, 0.2500, 0.2500)  4 Hf 2.96, 4 Y 2.96
W (0.7500, 0.7500, 0.7500)  4 Hf 2.96, 4 Y 2.96

Values from the calculation:
mass density: 13.3 g/cm3
M_tot: 0.0 μB per formula unit
DOS(E_F): 7.2 states/eV/cell
final energy: -9.990 eV per atom